[1]
Compound: SrNdInI6
Source: the Alexandria database
Functional: PBE
Structure: optimized geometry

Geometry as POSCAR:
```
SrNdInI6
1.0
8.247 0.000 0.000
-4.124 7.142 0.000
0.000 0.000 15.108
Sr Nd In I
2 2 2 12
Direct
0.333 0.667 0.250
0.667 0.333 0.750
0.333 0.667 0.750
0.667 0.333 0.250
0.000 0.000 0.000
0.000 0.000 0.500
0.015 0.365 0.629
0.015 0.650 0.871
0.350 0.365 0.871
0.350 0.985 0.629
0.365 0.015 0.129
0.365 0.350 0.371
0.635 0.650 0.629
0.635 0.985 0.871
0.650 0.015 0.371
0.650 0.635 0.129
0.985 0.350 0.129
0.985 0.635 0.371
```

## Properties
ΔE_f (raw): -1.293 eV/atom
Total DFT energy (no corrections): -3.35 eV per atom


[2]
Compound: Ba3TlRh2
Source: the Alexandria database
Functional: PBE
Structure: optimized geometry

Geometry as POSCAR:
```
Ba3TlRh2
1.0
9.173 0.000 0.000
0.000 9.391 0.000
-7.159 0.000 9.598
Ba Tl Rh
12 4 8
Direct
0.219 0.211 0.152
0.219 0.289 0.652
0.233 0.527 0.944
0.233 0.973 0.444
0.252 0.528 0.403
0.252 0.972 0.903
0.748 0.028 0.097
0.748 0.472 0.597
0.767 0.027 0.556
0.767 0.473 0.056
0.781 0.711 0.348
0.781 0.789 0.848
0.314 0.719 0.712
0.314 0.781 0.212
0.686 0.219 0.788
0.686 0.281 0.288
0.003 0.240 0.808
0.003 0.260 0.308
0.467 0.505 0.258
0.467 0.995 0.758
0.533 0.005 0.242
0.533 0.495 0.742
0.997 0.740 0.692
0.997 0.760 0.192
```

## Properties
Energy relative to the elements: -191 meV/atom
Total DFT energy (no corrections): -4.00 eV per atom


[3]
Compound: Pr3ZnB2Pt9
Source: the Alexandria database
Functional: PBE
Structure: optimized geometry

Geometry as POSCAR:
```
Pr3ZnB2Pt9
1.0
5.823 0.000 0.000
-2.911 5.043 0.000
0.000 0.000 9.341
Pr Zn B Pt
3 1 2 9
Direct
0.000 0.000 0.000
0.333 0.667 0.611
0.667 0.333 0.389
0.000 0.000 0.500
0.333 0.667 0.150
0.667 0.333 0.850
0.000 0.500 0.000
0.165 0.331 0.287
0.165 0.835 0.287
0.331 0.165 0.713
0.500 0.000 0.000
0.500 0.500 0.000
0.669 0.835 0.287
0.835 0.165 0.713
0.835 0.669 0.713
```

## Properties
Energy relative to the elements: -791 meV/atom
Total DFT energy (no corrections): -6.35 eV per atom


[4]
Compound: Ti12Sb6C
Source: the Alexandria database
Functional: PBE
Structure: optimized geometry

Geometry as POSCAR:
```
Ti12Sb6C
1.0
5.688 3.284 3.327
-5.688 3.284 3.327
0.000 -6.568 3.327
Ti Sb C
12 6 1
Direct
0.022 0.295 0.058
0.058 0.022 0.295
0.209 0.404 0.507
0.295 0.058 0.022
0.404 0.507 0.209
0.493 0.791 0.596
0.507 0.209 0.404
0.596 0.493 0.791
0.705 0.942 0.978
0.791 0.596 0.493
0.942 0.978 0.705
0.978 0.705 0.942
0.108 0.665 0.318
0.318 0.108 0.665
0.335 0.682 0.892
0.665 0.318 0.108
0.682 0.892 0.335
0.892 0.335 0.682
0.000 0.000 0.000
```

## Properties
ΔE_f (raw): -0.274 eV/atom
Total DFT energy (no corrections): -7.05 eV per atom


[5]
Compound: Nd2Sm2HoTm4
Source: the Alexandria database
Functional: PBE
Structure: optimized geometry

Geometry as POSCAR:
```
Nd2Sm2HoTm4
1.0
9.331 -1.799 0.000
9.331 1.799 0.000
-4.165 0.000 8.615
Nd Sm Ho Tm
2 2 1 4
Direct
0.165 0.165 0.002
0.835 0.835 0.998
0.353 0.353 0.338
0.647 0.647 0.662
0.500 0.500 0.000
0.020 0.020 0.333
0.315 0.315 0.663
0.685 0.685 0.337
0.980 0.980 0.667
```

## Properties
Energy relative to the elements: 3 meV/atom
Total DFT energy (no corrections): -4.60 eV per atom


[6]
Compound: Ac2NdTl
Source: the Alexandria database
Functional: PBE
Structure: optimized geometry

Geometry as POSCAR:
```
Ac2NdTl
1.0
8.395 0.000 0.000
0.000 8.395 0.000
0.000 0.000 8.395
Ac Nd Tl
8 4 4
Direct
0.250 0.250 0.250
0.250 0.250 0.750
0.250 0.750 0.250
0.250 0.750 0.750
0.750 0.250 0.250
0.750 0.250 0.750
0.750 0.750 0.250
0.750 0.750 0.750
0.000 0.000 0.000
0.000 0.500 0.500
0.500 0.000 0.500
0.500 0.500 0.000
0.000 0.000 0.500
0.000 0.500 0.000
0.500 0.000 0.000
0.500 0.500 0.500
```

## Properties
Energy relative to the elements: -12 meV/atom
Total DFT energy (no corrections): -3.85 eV per atom


> What is the total DFT energy (no corrections) in the first record?

-3.35 eV per atom


> Which of these has the lowest total DFT energy (no corrections)?

Ti12Sb6C


> total DFT energy (no corrections) of number 4 (Ti12Sb6C)?

-7.05 eV per atom


> Which value of total DFT energy (no corrections) does entry 5 give?

-4.60 eV per atom